[1]
Material: Pa2SnPtN5
Method: DFT, GGA-PBE
State: relaxed

Summary:
spin magnetization = 0.84 μB/f.u.
E_form (uncorrected) = -613.9 meV/atom
E_tot = -0.6222 Ry per atom

Cell: 3.7006 12.7075 12.5862 Å, 90.00 90.00 90.00°
Last column: nearest neighbours and their distance in Å.
Space group Cmc2_1 (No. 36)
One atom of each set of equivalent atoms:
Pa1 0.0000 0.0559 0.0000 x4  6 N 2.22-2.42
Pa2 0.0000 0.2094 0.6342 x4  4 N 2.17-2.22
Sn1 0.0000 0.2266 0.3658 x4  4 N 2.05-2.17
Pt1 0.0000 0.4508 0.2342 x4  2 N 1.97-2.04
N1 0.0000 0.1183 0.4863 x4  1 Sn 2.05, 2 Pa 2.19-2.22
N2 0.0000 0.2140 0.0742 x4  3 Pa 2.22
N3 0.0000 0.2881 0.7869 x4  2 Sn 2.11, 1 Pa 2.17
N4 0.0000 0.3959 0.3864 x4  1 Pt 2.04, 1 Sn 2.17
N5 0.0000 0.4689 0.6005 x4  1 Pt 1.97

[2]
Material: MgAgMo3
Method: DFT, GGA-PBE
State: relaxed

Summary:
spin magnetization = 0.00 μB/f.u.
ΔE_f = 2.16 eV per atom
E_tot = -0.3840 Ry per atom
energy above the most stable polymorph in this dataset = 0.0000 eV/atom

Cell: 4.5810 4.5810 4.5810 Å, 90.00 90.00 90.00°
Last column: nearest neighbours and their distance in Å.
Space group Pm-3m (No. 221)
One atom of each set of equivalent atoms:
Mg1 0.0000 0.0000 0.0000 x1  6 Mo 2.29
Ag1 0.5000 0.5000 0.5000 x1  12 Mo 3.24
Mo1 0.0000 0.0000 0.5000 x3  2 Mg 2.29